Computed, not measured: an optimized crystal structure of NpPaVO6 at the PBE+U level of DFT.

Values from the calculation:
Total energy   -171.53 eV for the cell shown

a b c (Å): 5.4811 5.4811 9.6441
angles (deg): 90.00 90.00 120.00
Fractional coordinates of all 18 atoms:
Np1 0.0000 0.0000 0.0000
Np2 0.0000 0.0000 0.5000
Pa1 0.3333 0.6667 0.2500
Pa2 0.6667 0.3333 0.7500
V1 0.3333 0.6667 0.7500
V2 0.6667 0.3333 0.2500
O1 0.0179 0.3480 0.6340
O2 0.0179 0.6699 0.8660
O3 0.3301 0.3480 0.8660
O4 0.3301 0.9821 0.6340
O5 0.3480 0.0179 0.1340
O6 0.3480 0.3301 0.3660
O7 0.6520 0.6699 0.6340
O8 0.6520 0.9821 0.8660
O9 0.6699 0.0179 0.3660
O10 0.6699 0.6520 0.1340
O11 0.9821 0.3301 0.1340
O12 0.9821 0.6520 0.3660